12
Lattice="3.181 -5.505 0.000 3.181 5.505 0.000 -2.122 0.000 7.414" Properties=species:S:1:pos:R:3 comment="PBE ScTl3Cr2S6, relaxed" total_energy_ev_per_cell=-67.2 crystal_system=monoclinic e_form_raw_ev_per_atom=-0.813 magmom_total_mub_per_cell=6.0 pbc="T T T"
Sc 0.000 0.000 0.000
Tl 2.120 3.731 3.707
Tl 2.120 0.000 3.707
Tl 2.120 -3.731 3.707
Cr 3.181 1.836 0.000
Cr 3.181 -1.836 0.000
S 1.116 1.929 1.339
S 0.107 0.000 6.114
S 1.116 -1.929 1.339
S 3.124 1.929 6.075
S 4.134 0.000 1.300
S 3.124 -1.929 6.075

4
Lattice="0.000 3.470 3.470 3.470 0.000 3.470 3.470 3.470 0.000" Properties=species:S:1:pos:R:3 comment="PBE MoSeBr2, relaxed" total_energy_ev_per_cell=-15.1 crystal_system=cubic e_form_raw_ev_per_atom=0.636 e_above_lowest_polymorph_ev_per_atom=0.967 magmom_total_mub_per_cell=2.0 pbc="T T T"
Mo 0.000 0.000 0.000
Se 1.735 1.735 1.735
Br 3.470 3.470 3.470
Br 5.204 5.204 5.204

19
Lattice="4.679 2.701 4.678 -4.679 2.701 4.678 0.000 -5.402 4.678" Properties=species:S:1:pos:R:3 comment="PBE Ce2Th2Pt15, relaxed" total_energy_ev_per_cell=-131.9 ef_ev_per_atom=-0.77 crystal_system=trigonal magmom_total_mub_per_cell=0.8 pbc="T T T"
Ce 0.000 0.000 1.376
Ce 0.000 0.000 12.659
Th 0.000 0.000 5.027
Th 0.000 0.000 9.008
Pt -4.679 0.000 7.018
Pt -1.512 -2.783 4.678
Pt -2.339 1.351 2.339
Pt -3.166 0.082 4.678
Pt -2.294 -1.324 6.917
Pt 1.512 -2.783 4.678
Pt -1.654 2.701 4.678
Pt 0.000 -2.648 7.119
Pt -2.294 1.324 7.119
Pt 2.339 1.351 2.339
Pt 2.294 -1.324 6.917
Pt 0.000 2.648 6.917
Pt 3.166 0.082 4.678
Pt 1.654 2.701 4.678
Pt 2.294 1.324 7.119

12
Lattice="7.741 -2.607 0.000 7.741 2.607 0.000 -6.971 0.000 8.571" Properties=species:S:1:pos:R:3 comment="PBE Tm7CuSn4, relaxed" total_energy_ev_per_cell=-55.2 ef_ev_per_atom=-0.31 crystal_system=monoclinic magmom_total_mub_per_cell=0.0 pbc="T T T"
Tm 0.000 0.000 0.000
Tm -1.731 0.000 4.869
Tm 3.473 0.000 1.196
Tm 1.657 0.000 6.007
Tm 6.853 0.000 2.563
Tm 5.037 0.000 7.374
Tm 10.241 0.000 3.702
Cu 7.741 0.000 0.000
Sn -4.244 0.000 6.716
Sn 0.999 0.000 2.940
Sn 7.512 0.000 5.631
Sn 12.754 0.000 1.854

5
Lattice="5.382 0.000 0.000 0.000 5.382 0.000 0.000 0.000 4.932" Properties=species:S:1:pos:R:3 comment="PBE TlSBrCl2, relaxed" total_energy_ev_per_cell=-11.5 crystal_system=tetragonal e_form_raw_ev_per_atom=0.064 e_above_lowest_polymorph_ev_per_atom=0.000 magmom_total_mub_per_cell=0.0 pbc="T T T"
Tl 0.000 0.000 0.000
S 2.691 2.691 0.000
Br 2.691 2.691 2.466
Cl 0.000 2.691 2.466
Cl 2.691 0.000 2.466

3
Lattice="4.486 0.000 0.000 -2.243 3.885 0.000 0.000 0.000 4.244" Properties=species:S:1:pos:R:3 comment="PBE LaScP, relaxed" total_energy_ev_per_cell=-19.0 ef_ev_per_atom=-0.77 crystal_system=trigonal e_above_lowest_polymorph_ev_per_atom=0.264 magmom_total_mub_per_cell=0.5 pbc="T T T"
La 0.000 0.000 0.000
Sc 0.000 2.590 2.111
P 2.243 1.295 1.982

5
Lattice="4.997 0.000 0.000 0.000 4.997 0.000 0.000 0.000 5.189" Properties=species:S:1:pos:R:3 comment="PBE Sc2GeRuPb, relaxed" total_energy_ev_per_cell=-26.8 ef_ev_per_atom=0.70 crystal_system=tetragonal magmom_total_mub_per_cell=1.2 pbc="T T T"
Sc 0.000 2.499 0.000
Sc 2.499 0.000 0.000
Ge 0.000 0.000 0.000
Ru 2.499 2.499 2.594
Pb 0.000 0.000 2.594

16
Lattice="4.515 2.607 7.398 -4.515 2.607 7.398 0.000 -5.214 7.398" Properties=species:S:1:pos:R:3 comment="PBE NaCe3Pr4Te8, relaxed" total_energy_ev_per_cell=-85.7 crystal_system=trigonal e_form_raw_ev_per_atom=-1.394 magmom_total_mub_per_cell=3.7 pbc="T T T"
Na 0.000 0.000 0.000
Ce -2.258 -1.303 7.398
Ce -2.258 1.303 14.795
Ce 0.000 2.607 7.398
Pr -4.515 0.000 11.097
Pr -2.258 1.303 3.699
Pr 2.258 1.303 3.699
Pr 0.000 0.000 11.097
Te 0.000 -2.627 9.214
Te -2.275 1.313 9.214
Te -2.275 -1.313 12.979
Te 0.000 0.000 5.569
Te 0.000 0.000 16.625
Te 2.275 1.313 9.214
Te 2.275 -1.313 12.979
Te 0.000 2.627 12.979

Repeat the eighth record exactly.
16
Lattice="4.515 2.607 7.398 -4.515 2.607 7.398 0.000 -5.214 7.398" Properties=species:S:1:pos:R:3 comment="PBE NaCe3Pr4Te8, relaxed" total_energy_ev_per_cell=-85.7 crystal_system=trigonal e_form_raw_ev_per_atom=-1.394 magmom_total_mub_per_cell=3.7 pbc="T T T"
Na 0.000 0.000 0.000
Ce -2.258 -1.303 7.398
Ce -2.258 1.303 14.795
Ce 0.000 2.607 7.398
Pr -4.515 0.000 11.097
Pr -2.258 1.303 3.699
Pr 2.258 1.303 3.699
Pr 0.000 0.000 11.097
Te 0.000 -2.627 9.214
Te -2.275 1.313 9.214
Te -2.275 -1.313 12.979
Te 0.000 0.000 5.569
Te 0.000 0.000 16.625
Te 2.275 1.313 9.214
Te 2.275 -1.313 12.979
Te 0.000 2.627 12.979

Number 3 is which compound?
Ce2Th2Pt15